No. 1
Crystalline NdEr2Sc at its relaxed geometry, computed with PBE.

## Properties
Spin magnetization (μB/f.u.): 0.00
DOS at the Fermi energy (states/eV/cell): 6.50
Energy above the lowest structure with this stoichiometry (meV/atom): 18.3
Uncorrected energy (eV per atom): -5.012
ΔE_f (meV per atom): 45

a = 4.906 Å, b = 4.906 Å, c = 4.991 Å
α = 90.00°, β = 90.00°, γ = 90.00°
Space group P4/mmm (No. 123)
Symmetry-distinct sites (fractional):
1 Nd 0.000 0.000 0.000 [1 per cell]
2 Er 0.000 0.500 0.500 [2 per cell]
3 Sc 0.500 0.500 0.000 [1 per cell]

No. 2
Crystalline NdEr2Sc4 at its relaxed geometry, computed with PBE.

## Properties
Spin magnetization (μB/f.u.): 3.21
DOS at the Fermi energy (states/eV/cell): 27.51
Energy above the lowest structure with this stoichiometry (meV/atom): 182.9
Uncorrected energy (eV per atom): -5.373
ΔE_f (meV per atom): 230

a = 8.074 Å, b = 8.074 Å, c = 6.268 Å
α = 90.00°, β = 90.00°, γ = 90.00°
Space group I4/mmm (No. 139)
Symmetry-distinct sites (fractional):
1 Nd 0.000 0.000 0.000 [2 per cell]
2 Er 0.000 0.500 0.250 [4 per cell]
3 Sc 0.193 0.193 0.500 [8 per cell]

No. 3
Crystalline Nd5Er2Sc2 at its relaxed geometry, computed with PBE.

## Properties
Spin magnetization (μB/f.u.): 0.00
DOS at the Fermi energy (states/eV/cell): 29.61
Energy above the lowest structure with this stoichiometry (meV/atom): 0.0
Uncorrected energy (eV per atom): -4.956
ΔE_f (meV per atom): 114

a = 19.849 Å, b = 3.471 Å, c = 8.588 Å
α = 90.00°, β = 102.79°, γ = 90.00°
Space group C2/m (No. 12)
Symmetry-distinct sites (fractional):
1 Nd 0.000 0.000 0.000 [2 per cell]
2 Nd 0.162 0.500 0.984 [4 per cell]
3 Nd 0.218 0.000 0.646 [4 per cell]
4 Er 0.054 0.000 0.661 [4 per cell]
5 Sc 0.096 0.500 0.352 [4 per cell]